No. 1
Here is a relaxed HfSiNO2 crystal from the Alexandria database. Energies are from PBE.

The space group is P4/mmm (No. 123) and the conventional cell measures 3.494, 3.494 and 3.794 Å, with angles of 90.00, 90.00 and 90.00 degrees. The asymmetric unit holds Hf at (0.000, 0.000, 0.000), Si at (0.500, 0.500, 0.500), N at (0.500, 0.500, 0.000) and O at (0.000, 0.500, 0.500).

The crystal system is tetragonal. The value obtained for the magnetic moment is 0.00 μB/f.u. The density of states at the Fermi level comes out at 0.33 states/eV/atom. The calculated density comes out at 9.06 Mg/m³.

=====

No. 2
Here is a relaxed HfSnNO2 crystal from the Alexandria database. Energies are from PBE.

The space group is P4/mmm (No. 123) and the conventional cell measures 4.086, 4.086 and 4.343 Å, with angles of 90.00, 90.00 and 90.00 degrees. The asymmetric unit holds Hf at (0.000, 0.000, 0.000), Sn at (0.500, 0.500, 0.500), N at (0.000, 0.000, 0.500) and O at (0.000, 0.500, 0.000).

The crystal system is tetragonal. The value obtained for the magnetic moment is 0.83 μB/f.u. The density of states at the Fermi level comes out at 0.37 states/eV/atom. The calculated density comes out at 7.86 Mg/m³.

=====

No. 3
Here is a relaxed HfSnNO2 crystal from the Alexandria database. Energies are from PBE.

The space group is P4/mmm (No. 123) and the conventional cell measures 3.973, 3.973 and 4.139 Å, with angles of 90.00, 90.00 and 90.00 degrees. The asymmetric unit holds Hf at (0.000, 0.000, 0.000), Sn at (0.500, 0.500, 0.500), N at (0.500, 0.500, 0.000) and O at (0.000, 0.500, 0.500).

The crystal system is tetragonal. The value obtained for the magnetic moment is 0.47 μB/f.u. The density of states at the Fermi level comes out at 0.61 states/eV/atom. The calculated density comes out at 8.72 Mg/m³.

=====

No. 4
Here is a relaxed Sr2HfNO crystal from the Alexandria database. Energies are from PBE.

The space group is P4/mmm (No. 123) and the conventional cell measures 5.206, 5.206 and 4.104 Å, with angles of 90.00, 90.00 and 90.00 degrees. The asymmetric unit holds Sr at (0.000, 0.500, 0.000), Hf at (0.000, 0.000, 0.500), N at (0.500, 0.500, 0.500) and O at (0.000, 0.000, 0.000).

The crystal system is tetragonal. The value obtained for the magnetic moment is 1.01 μB/f.u. The density of states at the Fermi level comes out at 0.70 states/eV/atom. The calculated density comes out at 5.73 Mg/m³.

=====

No. 5
Here is a relaxed HfTaNO2 crystal from the Alexandria database. Energies are from PBE.

The space group is P4/mmm (No. 123) and the conventional cell measures 3.959, 3.959 and 4.305 Å, with angles of 90.00, 90.00 and 90.00 degrees. The asymmetric unit holds Hf at (0.000, 0.000, 0.000), Ta at (0.500, 0.500, 0.500), N at (0.000, 0.000, 0.500) and O at (0.000, 0.500, 0.000).

The crystal system is tetragonal. The value obtained for the magnetic moment is 1.99 μB/f.u. The density of states at the Fermi level comes out at 0.62 states/eV/atom. The calculated density comes out at 9.98 Mg/m³.

=====

No. 6
Here is a relaxed HfTaNO3 crystal from the Alexandria database. Energies are from PBE.

The space group is Pmm2 (No. 25) and the conventional cell measures 3.517, 3.592 and 5.293 Å, with angles of 90.00, 90.00 and 90.00 degrees. The asymmetric unit holds Hf at (0.000, 0.000, 0.000), Ta at (0.500, 0.500, 0.524), N at (0.500, 0.000, 0.692), O at (0.000, 0.500, 0.338), O at (0.000, 0.500, 0.822) and O at (0.500, 0.000, 0.201).

The energy above the lowest structure with this stoichiometry is 0.114 eV per atom. The crystal system is orthorhombic. The value obtained for the magnetic moment is 0.00 μB/f.u. The density of states at the Fermi level comes out at 0.00 states/eV/atom. The calculated density comes out at 10.47 Mg/m³.

=====

No. 7
Here is a relaxed HfTaNO2 crystal from the Alexandria database. Energies are from PBE.

The space group is P4/mmm (No. 123) and the conventional cell measures 3.912, 3.912 and 4.148 Å, with angles of 90.00, 90.00 and 90.00 degrees. The asymmetric unit holds Hf at (0.000, 0.000, 0.000), Ta at (0.500, 0.500, 0.500), N at (0.500, 0.500, 0.000) and O at (0.000, 0.500, 0.500).

The crystal system is tetragonal. The value obtained for the magnetic moment is 0.65 μB/f.u. The density of states at the Fermi level comes out at 0.75 states/eV/atom. The calculated density comes out at 10.61 Mg/m³.

=====

No. 8
Here is a relaxed HfTaNO3 crystal from the Alexandria database. Energies are from PBE.

The space group is P2_1 (No. 4) and the conventional cell measures 5.077, 5.119 and 5.314 Å, with angles of 90.00, 99.32 and 90.00 degrees. The asymmetric unit holds Hf at (0.218, 0.000, 0.036), Ta at (0.212, 0.593, 0.537), N at (0.051, 0.305, 0.290), O at (0.054, 0.293, 0.773), O at (0.428, 0.701, 0.894) and O at (0.441, 0.846, 0.397).

The energy above the lowest structure with this stoichiometry is 0.000 eV per atom. The crystal system is monoclinic. The value obtained for the magnetic moment is 0.00 μB/f.u. The density of states at the Fermi level comes out at 0.00 states/eV/atom. The calculated density comes out at 10.27 Mg/m³.

=====

No. 9
Here is a relaxed HfTc2NO crystal from the Alexandria database. Energies are from PBE.

The space group is P4/mmm (No. 123) and the conventional cell measures 3.745, 3.745 and 5.183 Å, with angles of 90.00, 90.00 and 90.00 degrees. The asymmetric unit holds Hf at (0.000, 0.000, 0.000), Tc at (0.000, 0.500, 0.500), N at (0.500, 0.500, 0.000) and O at (0.500, 0.500, 0.500).

The crystal system is tetragonal. The value obtained for the magnetic moment is 0.00 μB/f.u. The density of states at the Fermi level comes out at 0.89 states/eV/atom. The calculated density comes out at 9.24 Mg/m³.

=====

No. 10
Here is a relaxed HfTeN2O crystal from the Alexandria database. Energies are from PBE.

The space group is P4/mmm (No. 123) and the conventional cell measures 4.303, 4.303 and 3.960 Å, with angles of 90.00, 90.00 and 90.00 degrees. The asymmetric unit holds Hf at (0.000, 0.000, 0.000), Te at (0.500, 0.500, 0.500), N at (0.000, 0.500, 0.000) and O at (0.000, 0.000, 0.500).

The crystal system is tetragonal. The value obtained for the magnetic moment is 0.00 μB/f.u. The density of states at the Fermi level comes out at 0.75 states/eV/atom. The calculated density comes out at 7.93 Mg/m³.

=====

No. 11
Here is a relaxed HfTeN2O crystal from the Alexandria database. Energies are from PBE.

The space group is P4/mmm (No. 123) and the conventional cell measures 3.948, 3.948 and 6.227 Å, with angles of 90.00, 90.00 and 90.00 degrees. The asymmetric unit holds Hf at (0.000, 0.000, 0.000), Te at (0.000, 0.000, 0.500), N at (0.000, 0.500, 0.000) and O at (0.500, 0.500, 0.500).

The crystal system is tetragonal. The value obtained for the magnetic moment is 0.00 μB/f.u. The density of states at the Fermi level comes out at 0.94 states/eV/atom. The calculated density comes out at 5.99 Mg/m³.

=====

No. 12
Here is a relaxed HfTeN2O crystal from the Alexandria database. Energies are from PBE.

The space group is P4/mmm (No. 123) and the conventional cell measures 4.113, 4.113 and 3.965 Å, with angles of 90.00, 90.00 and 90.00 degrees. The asymmetric unit holds Hf at (0.000, 0.000, 0.000), Te at (0.500, 0.500, 0.500), N at (0.000, 0.500, 0.500) and O at (0.500, 0.500, 0.000).

The crystal system is tetragonal. The value obtained for the magnetic moment is 0.39 μB/f.u. The density of states at the Fermi level comes out at 0.49 states/eV/atom. The calculated density comes out at 8.67 Mg/m³.

=====

Number 1: raw formation energy -1.5703 eV per atom. Number 2: raw formation energy -1.4560 eV per atom. Number 3: raw formation energy -0.5177 eV per atom. Number 4: raw formation energy -0.3110 eV per atom. Number 5: raw formation energy -0.9688 eV per atom. Number 6: raw formation energy -2.5711 eV per atom. Number 7: raw formation energy -1.3366 eV per atom. Number 8: raw formation energy -2.6850 eV per atom. Number 9: raw formation energy 0.3517 eV per atom. Number 10: raw formation energy -0.1990 eV per atom. Number 11: raw formation energy 0.6701 eV per atom. Number 12: raw formation energy 0.4995 eV per atom.